This record from Alexandria via LeMat-Bulk describes In2PS6 after structural relaxation. The functional is GGA-PBE.

abc: 6.5819 5.7062 9.8114
angles: 90.00 89.49 90.00
Atoms (fractional coordinates):
In (0.0246, 0.5081, 0.7818)
In (0.4754, 0.0081, 0.7182)
In (0.5246, 0.9919, 0.2818)
In (0.9754, 0.4919, 0.2182)
P (0.5000, 0.5000, 0.0000)
P (0.0000, 0.0000, 0.5000)
S (0.9107, 0.9234, 0.2750)
S (0.8472, 0.6651, 0.5647)
S (0.7995, 0.6915, 0.9622)
S (0.7005, 0.1915, 0.5378)
S (0.6528, 0.1651, 0.9353)
S (0.5893, 0.4234, 0.2250)
S (0.0893, 0.0766, 0.7250)
S (0.1528, 0.3349, 0.4353)
S (0.2005, 0.3085, 0.0378)
S (0.2995, 0.8085, 0.4622)
S (0.3472, 0.8349, 0.0647)
S (0.4107, 0.5766, 0.7750)

Calculated values
The final energy is -0.1490 hartree per atom. The value obtained for the uncorrected formation energy is -0.094 eV per atom. The magnetization is 0.00 μB/f.u. As for the space group: No. 14.